[1]
## Pm2SiGe3Rh4 (GGA-PBE)

Data for a relaxed structure of Pm2SiGe3Rh4.

Cell: 4.247 4.247 10.014 Å, 90.00 90.00 90.00°
Element x y z (fractional)
Pm: 0.000 0.500 0.242
Pm: 0.500 0.000 0.758
Si: 0.500 0.500 0.000
Ge: 0.000 0.000 0.000
Ge: 0.000 0.500 0.632
Ge: 0.500 0.000 0.368
Rh: 0.000 0.000 0.500
Rh: 0.000 0.500 0.877
Rh: 0.500 0.000 0.123
Rh: 0.500 0.500 0.500

- total moment (μB/atom) = 0.00
- crystal system = tetragonal
- E_tot (eV per atom) = -6.733
- E_form (uncorrected) (eV/atom) = -0.9144
- density (g cm⁻³) = 8.713

***

[2]
## PmSiGeRh (GGA-PBE)

Data for a relaxed structure of PmSiGeRh.

Cell: 4.152 4.152 9.163 Å, 90.00 90.00 90.00°
Element x y z (fractional)
Pm: 0.250 0.250 0.208
Pm: 0.750 0.750 0.792
Si: 0.250 0.250 0.632
Si: 0.750 0.750 0.368
Ge: 0.250 0.250 0.890
Ge: 0.750 0.750 0.110
Rh: 0.250 0.750 0.500
Rh: 0.750 0.250 0.500

- total moment (μB/atom) = 0.00
- crystal system = tetragonal
- E_tot (eV per atom) = -6.352
- E_form (uncorrected) (eV/atom) = -0.8167
- density (g cm⁻³) = 7.329